Compound: ZnAgSO
Source: OQMD
Functional: PBE-GGA
Structure: optimized geometry

## Properties
E (eV/cell): -29.02

CIF file:
```
data_ZnAgSO
_cell_length_a 3.6267
_cell_length_b 3.6267
_cell_length_c 11.3113
_cell_angle_alpha 90.00
_cell_angle_beta 90.00
_cell_angle_gamma 120.00
_space_group_name_H-M_alt 'P 63 m c'
_space_group_IT_number 186
_space_group_name_Hall 'P 6c -2c'
loop_
_atom_site_label
_atom_site_fract_x
_atom_site_fract_y
_atom_site_fract_z
Zn1 0.0000 0.0000 0.0000
Ag1 0.3333 0.6667 0.2547
S1 0.3333 0.6667 0.5993
O1 0.0000 0.0000 0.3337
```